<1>
{
  "formula": "LiY",
  "functional": "PBE-GGA",
  "state": "relaxed",
  "cell": [[-2.2219, 3.5050, -4.4179], [-3.7204, -4.4795, -1.6828], [-4.2381, 2.0948, 3.7934]],
  "species": ["Li", "Li", "Li", "Li", "Y", "Y", "Y", "Y"],
  "fractional_positions": [[0.0000, 0.0000, 0.0000], [0.0000, 0.5000, 0.5000], [0.5000, 0.0000, 0.5000], [0.5000, 0.5000, 0.0000], [0.5000, 0.5000, 0.5000], [0.5000, 0.0000, 0.0000], [0.0000, 0.5000, 0.0000], [0.0000, 0.0000, 0.5000]],
  "dos_at_fermi_per_ev_fu": 3.787
}


<2>
{
  "formula": "LiY",
  "functional": "PBE-GGA",
  "state": "relaxed",
  "cell": [[6.0093, 0.0000, 0.0000], [0.0000, 6.0093, 0.0000], [0.0000, 0.0000, 5.9237]],
  "species": ["Li", "Li", "Li", "Li", "Y", "Y", "Y", "Y"],
  "fractional_positions": [[0.3271, 0.6729, 0.0000], [0.8271, 0.8271, 0.5000], [0.1729, 0.1729, 0.5000], [0.6729, 0.3271, 0.0000], [0.1958, 0.1958, 0.0000], [0.6958, 0.3042, 0.5000], [0.3042, 0.6958, 0.5000], [0.8042, 0.8042, 0.0000]],
  "dos_at_fermi_per_ev_fu": 2.577
}


Bottom line: <2>, by a margin of 110 meV/atom.


<1>
{
  "formula": "LiY",
  "functional": "PBE-GGA",
  "state": "relaxed",
  "cell": [[-1.3042, -2.5153, 4.5965], [4.1899, -4.1629, -1.0893], [4.4087, 3.5952, 3.2184]],
  "species": ["Li", "Li", "Li", "Li", "Y", "Y", "Y", "Y"],
  "fractional_positions": [[0.7500, 0.8180, 0.1805], [0.2500, 0.3180, 0.3195], [0.7500, 0.6820, 0.6805], [0.2500, 0.1820, 0.8195], [0.7500, 0.3151, 0.0881], [0.2500, 0.8151, 0.4119], [0.7500, 0.1849, 0.5881], [0.2500, 0.6849, 0.9119]],
  "dos_at_fermi_per_ev_fu": 2.022
}


<2>
{
  "formula": "LiY",
  "functional": "PBE-GGA",
  "state": "relaxed",
  "cell": [[6.0072, -0.0414, 0.0151], [4.1877, 5.1100, 0.0364], [1.0365, 0.3522, 3.3656]],
  "species": ["Li", "Li", "Y", "Y"],
  "fractional_positions": [[0.0246, 0.9204, 0.0275], [0.8921, 0.6630, 0.7225], [0.5754, 0.4592, 0.4827], [0.3413, 0.1242, 0.2673]],
  "dos_at_fermi_per_ev_fu": 2.598
}


Bottom line: <2>, by a margin of 139 meV/atom.


<1>
{
  "formula": "LiY",
  "functional": "PBE-GGA",
  "state": "relaxed",
  "cell": [[5.3066, 0.0126, 0.0089], [2.6413, 4.6025, 0.0089], [2.6413, 1.5337, 4.3395]],
  "species": ["Li", "Li", "Y", "Y"],
  "fractional_positions": [[0.1248, 0.1248, 0.1248], [0.8752, 0.8752, 0.8752], [0.3750, 0.3750, 0.3750], [0.6250, 0.6250, 0.6250]],
  "dos_at_fermi_per_ev_fu": 1.274
}


<2>
{
  "formula": "LiY",
  "functional": "PBE-GGA",
  "state": "relaxed",
  "cell": [[4.6350, 0.0000, 0.0000], [2.3175, 4.0141, 0.0000], [2.3175, 1.3380, 3.7845]],
  "species": ["Li", "Y"],
  "fractional_positions": [[0.0000, 0.0000, 0.0000], [0.7500, 0.7500, 0.7500]],
  "dos_at_fermi_per_ev_fu": 3.552
}


<3>
{
  "formula": "LiY",
  "functional": "PBE-GGA",
  "state": "relaxed",
  "cell": [[-0.4004, -1.5437, -6.3860], [-0.3549, -5.9094, 1.4507], [-10.3894, 0.7401, 0.4726]],
  "species": ["Li", "Li", "Li", "Li", "Li", "Li", "Li", "Li", "Y", "Y", "Y", "Y", "Y", "Y", "Y", "Y"],
  "fractional_positions": [[0.1971, 0.8617, 0.0776], [0.6971, 0.6383, 0.9224], [0.8029, 0.3617, 0.4224], [0.3029, 0.1383, 0.5776], [0.4670, 0.4706, 0.7096], [0.9670, 0.0294, 0.2904], [0.5330, 0.9706, 0.7904], [0.0330, 0.5294, 0.2096], [0.7761, 0.1582, 0.0315], [0.2761, 0.3418, 0.9685], [0.2239, 0.6582, 0.4685], [0.7239, 0.8418, 0.5315], [0.0833, 0.8277, 0.7883], [0.5833, 0.6723, 0.2117], [0.9167, 0.3277, 0.7117], [0.4167, 0.1723, 0.2883]],
  "dos_at_fermi_per_ev_fu": 2.433
}


Bottom line: <3>, by a margin of 136 meV/atom.


<1>
{
  "formula": "LiY",
  "functional": "PBE-GGA",
  "state": "relaxed",
  "cell": [[-7.9830, -5.0107, -6.9042], [7.7383, -0.2732, -8.7491], [1.0053, -2.9538, 0.9814]],
  "species": ["Li", "Li", "Li", "Li", "Li", "Li", "Li", "Li", "Y", "Y", "Y", "Y", "Y", "Y", "Y", "Y"],
  "fractional_positions": [[0.4272, 0.6499, 0.0000], [0.5728, 0.3501, 0.0000], [0.3501, 0.4272, 0.0000], [0.6499, 0.5728, 0.0000], [0.9272, 0.1499, 0.5000], [0.0728, 0.8501, 0.5000], [0.8501, 0.9272, 0.5000], [0.1499, 0.0728, 0.5000], [0.3770, 0.1476, 0.0000], [0.6230, 0.8524, 0.0000], [0.8524, 0.3770, 0.0000], [0.1476, 0.6230, 0.0000], [0.8770, 0.6476, 0.5000], [0.1230, 0.3524, 0.5000], [0.3524, 0.8770, 0.5000], [0.6476, 0.1230, 0.5000]],
  "dos_at_fermi_per_ev_fu": 2.939
}


<2>
{
  "formula": "LiY",
  "functional": "PBE-GGA",
  "state": "relaxed",
  "cell": [[-4.5675, -3.4774, -0.0586], [-1.7736, -5.4517, -0.3018], [-2.7464, -4.2253, 2.7498]],
  "species": ["Li", "Y"],
  "fractional_positions": [[0.0000, 0.0000, 0.0000], [0.5000, 0.5000, 0.5000]],
  "dos_at_fermi_per_ev_fu": 2.451
}


Bottom line: <2>, by a margin of 75 meV/atom.


<1>
{
  "formula": "LiY",
  "functional": "PBE-GGA",
  "state": "relaxed",
  "cell": [[-1.8437, 4.2316, 6.1537], [-2.8920, -7.9082, 4.5717], [10.6857, -1.4718, 4.2136]],
  "species": ["Li", "Li", "Li", "Li", "Li", "Li", "Li", "Li", "Li", "Li", "Li", "Li", "Li", "Li", "Li", "Li", "Y", "Y", "Y", "Y", "Y", "Y", "Y", "Y", "Y", "Y", "Y", "Y", "Y", "Y", "Y", "Y"],
  "fractional_positions": [[0.3401, 0.0000, 0.0000], [0.6599, 0.0000, 0.0000], [0.9099, 0.7500, 0.2500], [0.5901, 0.7500, 0.2500], [0.3401, 0.5000, 0.5000], [0.6599, 0.5000, 0.5000], [0.9099, 0.2500, 0.7500], [0.5901, 0.2500, 0.7500], [0.8401, 0.0000, 0.5000], [0.1599, 0.0000, 0.5000], [0.4099, 0.7500, 0.7500], [0.0901, 0.7500, 0.7500], [0.8401, 0.5000, 0.0000], [0.1599, 0.5000, 0.0000], [0.4099, 0.2500, 0.2500], [0.0901, 0.2500, 0.2500], [0.0000, 0.8134, 0.0000], [0.0000, 0.1866, 0.0000], [0.2500, 0.9366, 0.2500], [0.2500, 0.5634, 0.2500], [0.0000, 0.3134, 0.5000], [0.0000, 0.6866, 0.5000], [0.2500, 0.4366, 0.7500], [0.2500, 0.0634, 0.7500], [0.5000, 0.8134, 0.5000], [0.5000, 0.1866, 0.5000], [0.7500, 0.9366, 0.7500], [0.7500, 0.5634, 0.7500], [0.5000, 0.3134, 0.0000], [0.5000, 0.6866, 0.0000], [0.7500, 0.4366, 0.2500], [0.7500, 0.0634, 0.2500]],
  "dos_at_fermi_per_ev_fu": 3.001
}


<2>
{
  "formula": "LiY",
  "functional": "PBE-GGA",
  "state": "relaxed",
  "cell": [[9.9876, 0.0000, 0.0000], [0.0000, 9.9876, 0.0000], [0.0000, 0.0000, 9.9876]],
  "species": ["Li", "Li", "Li", "Li", "Li", "Li", "Li", "Li", "Y", "Y", "Y", "Y", "Y", "Y", "Y", "Y"],
  "fractional_positions": [[0.1926, 0.1926, 0.1926], [0.1926, 0.8074, 0.8074], [0.8074, 0.1926, 0.8074], [0.8074, 0.8074, 0.1926], [0.6926, 0.6926, 0.6926], [0.6926, 0.3074, 0.3074], [0.3074, 0.6926, 0.3074], [0.3074, 0.3074, 0.6926], [0.3856, 0.3856, 0.3856], [0.3856, 0.6144, 0.6144], [0.6144, 0.3856, 0.6144], [0.6144, 0.6144, 0.3856], [0.8856, 0.8856, 0.8856], [0.8856, 0.1144, 0.1144], [0.1144, 0.8856, 0.1144], [0.1144, 0.1144, 0.8856]],
  "dos_at_fermi_per_ev_fu": 0.604
}


<3>
{
  "formula": "LiY",
  "functional": "PBE-GGA",
  "state": "relaxed",
  "cell": [[5.9540, 0.0000, 0.0000], [0.0000, 5.9540, 0.0000], [0.0000, 0.0000, 5.9540]],
  "species": ["Li", "Li", "Li", "Li", "Y", "Y", "Y", "Y"],
  "fractional_positions": [[0.0938, 0.5938, 0.9062], [0.4062, 0.4062, 0.4062], [0.9062, 0.0938, 0.5938], [0.5938, 0.9062, 0.0938], [0.4215, 0.9215, 0.5785], [0.0785, 0.0785, 0.0785], [0.5785, 0.4215, 0.9215], [0.9215, 0.5785, 0.4215]],
  "dos_at_fermi_per_ev_fu": 2.100
}


<4>
{
  "formula": "LiY",
  "functional": "PBE-GGA",
  "state": "relaxed",
  "cell": [[8.1997, 0.0000, 0.0000], [0.0000, 8.1997, 0.0000], [0.0000, 0.0000, 8.1997]],
  "species": ["Li", "Li", "Li", "Li", "Li", "Li", "Y", "Y", "Y", "Y", "Y", "Y"],
  "fractional_positions": [[0.2500, 0.0000, 0.5000], [0.7500, 0.0000, 0.5000], [0.0000, 0.5000, 0.2500], [0.0000, 0.5000, 0.7500], [0.5000, 0.2500, 0.0000], [0.5000, 0.7500, 0.0000], [0.2500, 0.5000, 0.0000], [0.7500, 0.5000, 0.0000], [0.5000, 0.0000, 0.2500], [0.5000, 0.0000, 0.7500], [0.0000, 0.2500, 0.5000], [0.0000, 0.7500, 0.5000]],
  "dos_at_fermi_per_ev_fu": 2.610
}


Bottom line: <3>, by a margin of 42 meV/atom.


<1>
{
  "formula": "LiY",
  "functional": "PBE-GGA",
  "state": "relaxed",
  "cell": [[3.4947, 0.0000, 0.0000], [-1.7474, 3.0265, 0.0000], [0.0000, 0.0000, 10.5955]],
  "species": ["Li", "Li", "Y", "Y"],
  "fractional_positions": [[0.3333, 0.6667, 0.8907], [0.6667, 0.3333, 0.1093], [0.3333, 0.6667, 0.3667], [0.6667, 0.3333, 0.6333]],
  "dos_at_fermi_per_ev_fu": 1.742
}


<2>
{
  "formula": "LiY",
  "functional": "PBE-GGA",
  "state": "relaxed",
  "cell": [[4.3200, -4.7958, 1.6424], [5.5772, -3.3778, -1.3584], [5.0410, 3.4172, 3.7268]],
  "species": ["Li", "Li", "Li", "Y", "Y", "Y"],
  "fractional_positions": [[0.9837, 0.9837, 0.0658], [0.6213, 0.6213, 0.7742], [0.6331, 0.6331, 0.1768], [0.2796, 0.2796, 0.4096], [0.9930, 0.9930, 0.5201], [0.3225, 0.3225, 0.8867]],
  "dos_at_fermi_per_ev_fu": 2.368
}


<3>
{
  "formula": "LiY",
  "functional": "PBE-GGA",
  "state": "relaxed",
  "cell": [[-5.2568, 11.6801, -1.0772], [-2.8723, -1.0956, 2.1378], [3.2128, 1.9355, 5.3086]],
  "species": ["Li", "Li", "Li", "Li", "Li", "Li", "Y", "Y", "Y", "Y", "Y", "Y"],
  "fractional_positions": [[0.3933, 0.0000, 0.1281], [0.6067, 0.0000, 0.1281], [0.8933, 0.5000, 0.6282], [0.1067, 0.5000, 0.6282], [0.0000, 0.0000, 0.4063], [0.5000, 0.5000, 0.9063], [0.2937, 0.0000, 0.6910], [0.7063, 0.0000, 0.6910], [0.7937, 0.5000, 0.1910], [0.2063, 0.5000, 0.1910], [0.0000, 0.0000, 0.9574], [0.5000, 0.5000, 0.4574]],
  "dos_at_fermi_per_ev_fu": 2.487
}


Bottom line: <1>, by a margin of 22 meV/atom.


<1>
{
  "formula": "LiY",
  "functional": "PBE-GGA",
  "state": "relaxed",
  "cell": [[-0.4626, 1.3555, -3.1866], [-2.7492, -1.1416, 1.8287], [-3.4594, 28.6756, 12.6999]],
  "species": ["Li", "Li", "Li", "Li", "Li", "Li", "Y", "Y", "Y", "Y", "Y", "Y"],
  "fractional_positions": [[0.0000, 0.0000, 0.7025], [0.0000, 0.0000, 0.2975], [0.3333, 0.6667, 0.3692], [0.3333, 0.6667, 0.9642], [0.6667, 0.3333, 0.0358], [0.6667, 0.3333, 0.6308], [0.0000, 0.0000, 0.8782], [0.0000, 0.0000, 0.1218], [0.3333, 0.6667, 0.5449], [0.3333, 0.6667, 0.7884], [0.6667, 0.3333, 0.2116], [0.6667, 0.3333, 0.4551]],
  "dos_at_fermi_per_ev_fu": 1.808
}


<2>
{
  "formula": "LiY",
  "functional": "PBE-GGA",
  "state": "relaxed",
  "cell": [[-2.2147, -3.9071, -4.2723], [-4.6645, -3.7984, 1.4960], [1.3759, 6.0256, 0.4708]],
  "species": ["Li", "Li", "Y", "Y"],
  "fractional_positions": [[0.0000, 0.0000, 0.0000], [0.2500, 0.7500, 0.5000], [0.5000, 0.5000, 0.0000], [0.7500, 0.2500, 0.5000]],
  "dos_at_fermi_per_ev_fu": 1.891
}


<3>
{
  "formula": "LiY",
  "functional": "PBE-GGA",
  "state": "relaxed",
  "cell": [[3.6886, 0.0000, 0.0000], [0.0000, 3.6775, 0.2862], [0.0000, -0.5982, 7.6875]],
  "species": ["Y", "Y", "Li", "Li"],
  "fractional_positions": [[0.2500, 0.2500, 0.6493], [0.7500, 0.7500, 0.3507], [0.2500, 0.2500, 0.0865], [0.7500, 0.7500, 0.9135]],
  "dos_at_fermi_per_ev_fu": 1.701
}


Bottom line: <3>, by a margin of 40 meV/atom.


<1>
{
  "formula": "LiY",
  "functional": "PBE-GGA",
  "state": "relaxed",
  "cell": [[6.2887, 0.0138, 0.0040], [2.9605, 5.5482, -0.0040], [-3.9884, -3.8390, 2.9837]],
  "species": ["Li", "Li", "Y", "Y"],
  "fractional_positions": [[0.4048, 0.6548, 0.2500], [0.5952, 0.3452, 0.7500], [0.8595, 0.1095, 0.2500], [0.1405, 0.8905, 0.7500]],
  "dos_at_fermi_per_ev_fu": 2.566
}


<2>
{
  "formula": "LiY",
  "functional": "PBE-GGA",
  "state": "relaxed",
  "cell": [[-1.6188, 1.1287, -2.6937], [-0.4638, -3.1417, 1.0321], [-8.8877, 3.5562, 6.8310]],
  "species": ["Li", "Li", "Y", "Y"],
  "fractional_positions": [[0.3333, 0.6667, 0.4078], [0.6667, 0.3333, 0.9078], [0.3333, 0.6667, 0.6742], [0.6667, 0.3333, 0.1742]],
  "dos_at_fermi_per_ev_fu": 1.863
}


Bottom line: <1>, by a margin of 150 meV/atom.